# 1
This record from Alexandria via LeMat-Bulk describes crystalline LaCd2Au at its relaxed geometry. The functional is PBE-GGA.

The formation energy comes out at -0.285 eV/atom.

abc: 3.5858 3.5858 7.6054
angles: 90.00 90.00 90.00
Space group P4/mmm (No. 123)
Inequivalent atoms, fractional coordinates:
La1 0.0000 0.0000 0.0000 (multiplicity 1)
Cd1 0.5000 0.5000 0.2976 (multiplicity 2)
Au1 0.0000 0.0000 0.5000 (multiplicity 1)



# 2
This record from Alexandria via LeMat-Bulk describes crystalline BaMgSb4O8 at its relaxed geometry. The functional is PBE-GGA.

Its formation energy (no corrections) is -20.932 eV per formula unit.

abc: 6.1195 6.1195 7.1716
angles: 90.00 90.00 120.00
Space group P-31m (No. 162)
Inequivalent atoms, fractional coordinates:
Ba1 0.0000 0.0000 0.0000 (multiplicity 1)
Mg1 0.0000 0.0000 0.5000 (multiplicity 1)
Sb1 0.3333 0.6667 0.2824 (multiplicity 4)
O1 0.0000 0.2861 0.2998 (multiplicity 6)
O2 0.3333 0.6667 0.0000 (multiplicity 2)



# 3
This record from Alexandria via LeMat-Bulk describes crystalline ErTmSi at its relaxed geometry. The functional is PBE-GGA.

The energy above the most stable polymorph in this dataset comes out at 0 meV per atom. Its formation energy (no corrections) is -1.666 eV per formula unit.

abc: 6.3108 4.1726 11.2375
angles: 90.00 90.00 90.00
Space group Pnma (No. 62)
Inequivalent atoms, fractional coordinates:
Er1 0.2474 0.2500 0.0434 (multiplicity 4)
Tm1 0.0024 0.2500 0.7491 (multiplicity 4)
Si1 0.2483 0.2500 0.3635 (multiplicity 4)



# 4
This record from Alexandria via LeMat-Bulk describes crystalline KPbI3 at its relaxed geometry. The functional is PBE-GGA.

Its formation energy (no corrections) is -4.875 eV per formula unit.

abc: 10.4729 4.7338 17.6804
angles: 90.00 90.00 90.00
Space group Pnma (No. 62)
Inequivalent atoms, fractional coordinates:
K1 0.1072 0.2500 0.1943 (multiplicity 4)
Pb1 0.1864 0.7500 0.4515 (multiplicity 4)
I1 0.0046 0.7500 0.6103 (multiplicity 4)
I2 0.1554 0.7500 0.0360 (multiplicity 4)
I3 0.1727 0.2500 0.7939 (multiplicity 4)



# 5
This record from Alexandria via LeMat-Bulk describes crystalline Na2ZnRuO4 at its relaxed geometry. The functional is PBE-GGA.

Its formation energy (no corrections) is -9.228 eV per formula unit.

abc: 5.7245 5.7245 6.5964
angles: 90.00 90.00 90.00
Space group I-4 (No. 82)
Inequivalent atoms, fractional coordinates:
Na1 0.0000 0.0000 0.0000 (multiplicity 2)
Na2 0.0000 0.5000 0.2500 (multiplicity 2)
Zn1 0.0000 0.5000 0.7500 (multiplicity 2)
Ru1 0.0000 0.0000 0.5000 (multiplicity 2)
O1 0.1640 0.2806 0.5649 (multiplicity 8)



# 6
This record from Alexandria via LeMat-Bulk describes crystalline AlV3S6 at its relaxed geometry. The functional is PBE-GGA.

Its formation energy (no corrections) is -7.311 eV per formula unit.

abc: 9.5477 12.8953 5.8509
angles: 90.00 90.00 90.00
Space group Cmc2_1 (No. 36)
Inequivalent atoms, fractional coordinates:
Al1 0.0000 0.2193 0.0000 (multiplicity 4)
V1 0.0000 0.4256 0.3450 (multiplicity 4)
V2 0.1788 0.0710 0.4962 (multiplicity 8)
S1 0.0000 0.0555 0.1708 (multiplicity 4)
S2 0.0000 0.1927 0.6207 (multiplicity 4)
S3 0.1634 0.4502 0.6738 (multiplicity 8)
S4 0.1695 0.3076 0.1837 (multiplicity 8)



Calculated values (Mg/m³) of density for the records, taken in order: 9.52; 5.55; 8.18; 4.75; 4.25; 3.43.
Calculated values (μB per cell) of magnetic moment for the records, taken in order: 0.2; 0.0; 0.0; 0.0; 4.0; 24.1.